1.
Sr2TlPt (PBE-GGA, relaxed); uncorrected energy = -3.4233 eV/atom; crystal system = tetragonal; total magnetization = 0.0000 μB per atom; E_form = -0.481 eV per atom; space group = No. 123
1.0
5.360 0.000 0.000
0.000 5.360 0.000
0.000 0.000 4.040
Sr Tl Pt
2 1 1
Direct
0.000 0.500 0.000
0.500 0.000 0.000
0.000 0.000 0.500
0.500 0.500 0.500

---

2.
Sr4TlPt (PBE-GGA, relaxed); uncorrected energy = -2.9886 eV/atom; crystal system = monoclinic; total magnetization = 0.0000 μB per atom; E_form = -0.466 eV per atom; space group = No. 15
1.0
5.036 -7.335 0.000
5.036 7.335 0.000
-3.496 0.000 6.181
Sr Tl Pt
8 2 2
Direct
0.055 0.715 0.922
0.220 0.348 0.700
0.285 0.945 0.578
0.348 0.220 0.200
0.652 0.780 0.800
0.715 0.055 0.422
0.780 0.652 0.300
0.945 0.285 0.078
0.366 0.634 0.250
0.634 0.366 0.750
0.002 0.998 0.750
0.998 0.002 0.250

---

- uncorrected energy of number 1 (Sr2TlPt)?
  -3.4233 eV/atom

---

Please write out number 1 again, unchanged.
Sr2TlPt (PBE-GGA, relaxed); uncorrected energy = -3.4233 eV/atom; crystal system = tetragonal; total magnetization = 0.0000 μB per atom; E_form = -0.481 eV per atom; space group = No. 123
1.0
5.360 0.000 0.000
0.000 5.360 0.000
0.000 0.000 4.040
Sr Tl Pt
2 1 1
Direct
0.000 0.500 0.000
0.500 0.000 0.000
0.000 0.000 0.500
0.500 0.500 0.500

---

Please write out number 2 again, unchanged.
Sr4TlPt (PBE-GGA, relaxed); uncorrected energy = -2.9886 eV/atom; crystal system = monoclinic; total magnetization = 0.0000 μB per atom; E_form = -0.466 eV per atom; space group = No. 15
1.0
5.036 -7.335 0.000
5.036 7.335 0.000
-3.496 0.000 6.181
Sr Tl Pt
8 2 2
Direct
0.055 0.715 0.922
0.220 0.348 0.700
0.285 0.945 0.578
0.348 0.220 0.200
0.652 0.780 0.800
0.715 0.055 0.422
0.780 0.652 0.300
0.945 0.285 0.078
0.366 0.634 0.250
0.634 0.366 0.750
0.002 0.998 0.750
0.998 0.002 0.250